# Ac6RuAu2N

Crystalline Ac6RuAu2N at its relaxed geometry (GGA-PBE, the Alexandria database).

Calculated values
DFT total energy = -109.13 eV per cell

Cell lengths 7.2414, 7.9636, 13.0195 Å; angles 90.00, 122.99, 90.00 degrees
Space group P2_1/c (No. 14)
One atom of each set of equivalent atoms:
Ac 0.1121 0.1991 0.4430 [4 per cell]
Ac 0.2474 0.6803 0.4384 [4 per cell]
Ac 0.3655 0.0290 0.2417 [4 per cell]
Ru 0.5000 0.0000 0.5000 [2 per cell]
Au 0.1907 0.0998 0.7411 [4 per cell]
N 0.0000 0.0000 0.0000 [2 per cell]

# GaBiAsSe2

Crystalline GaBiAsSe2 at its relaxed geometry (GGA-PBE, the Alexandria database).

Calculated values
energy relative to the lowest polymorph listed for this composition = 27.9 kJ/mol of atoms
DFT total energy = -15.79 eV per cell

Cell lengths 5.6099, 5.6099, 5.5085 Å; angles 90.00, 90.00, 90.00 degrees
Space group P4/mmm (No. 123)
One atom of each set of equivalent atoms:
Ga 0.0000 0.0000 0.0000 [1 per cell]
Bi 0.5000 0.5000 0.5000 [1 per cell]
As 0.5000 0.5000 0.0000 [1 per cell]
Se 0.0000 0.5000 0.5000 [2 per cell]

# V4HPd2

Crystalline V4HPd2 at its relaxed geometry (GGA-PBE, the Alexandria database).

Calculated values
DFT total energy = -98.72 eV per cell

Cell lengths 3.8562, 3.8562, 12.4897 Å; angles 90.00, 90.00, 90.00 degrees
Space group I4/mmm (No. 139)
One atom of each set of equivalent atoms:
V 0.0000 0.0000 0.1529 [4 per cell]
V 0.0000 0.5000 0.0000 [4 per cell]
H 0.0000 0.0000 0.0000 [2 per cell]
Pd 0.0000 0.0000 0.3477 [4 per cell]

# Hf2Zn2Ga

Crystalline Hf2Zn2Ga at its relaxed geometry (GGA-PBE, the Alexandria database).

Calculated values
calculated formation energy = 0.065 eV per atom
DFT total energy = -50.32 eV per cell

Cell lengths 3.3610, 3.3610, 16.7326 Å; angles 90.00, 90.00, 90.00 degrees
Space group I4/mmm (No. 139)
One atom of each set of equivalent atoms:
Hf 0.0000 0.0000 0.1026 [4 per cell]
Zn 0.0000 0.5000 0.2500 [4 per cell]
Ga 0.0000 0.0000 0.5000 [2 per cell]

# Cd4SbPI2

Crystalline Cd4SbPI2 at its relaxed geometry (GGA-PBE, the Alexandria database).

Calculated values
DFT total energy = -69.20 eV per cell

Cell lengths 8.3190, 8.4408, 13.2572 Å; angles 90.00, 90.00, 90.00 degrees
Space group Imma (No. 74)
One atom of each set of equivalent atoms:
Cd 0.0000 0.0150 0.2014 [8 per cell]
Cd 0.2129 0.2500 0.0244 [8 per cell]
Sb 0.2500 0.2500 0.2500 [4 per cell]
P 0.0000 0.0000 0.0000 [4 per cell]
I 0.0000 0.0000 0.5000 [4 per cell]
I 0.2500 0.2500 0.7500 [4 per cell]

# Dy6Ho12Sn

Crystalline Dy6Ho12Sn at its relaxed geometry (GGA-PBE, the Alexandria database).

Calculated values
calculated formation energy = 0.038 eV per atom
DFT total energy = -257.46 eV per cell

Cell lengths 11.7384, 11.7384, 14.9116 Å; angles 90.00, 90.00, 120.00 degrees
Space group R-3 (No. 148, hexagonal axes)
One atom of each set of equivalent atoms:
Dy 0.0164 0.5894 0.1832 [18 per cell]
Ho 0.0026 0.1761 0.6873 [18 per cell]
Ho 0.0430 0.1943 0.9158 [18 per cell]
Sn 0.0000 0.0000 0.5000 [3 per cell]

# Cr2AsAu

Crystalline Cr2AsAu at its relaxed geometry (GGA-PBE, the Alexandria database).

Calculated values
calculated formation energy = 0.164 eV per atom
DFT total energy = -26.52 eV per cell

Cell lengths 3.0702, 3.0702, 6.7070 Å; angles 90.00, 90.00, 90.00 degrees
Space group P4mm (No. 99)
One atom of each set of equivalent atoms:
Cr 0.0000 0.0000 0.0000 [1 per cell]
Cr 0.5000 0.5000 0.1917 [1 per cell]
As 0.0000 0.0000 0.4055 [1 per cell]
Au 0.5000 0.5000 0.7435 [1 per cell]

# MnHRuAu

Crystalline MnHRuAu at its relaxed geometry (GGA-PBE, the Alexandria database).

Calculated values
energy relative to the lowest polymorph listed for this composition = 2.5 kJ/mol of atoms
DFT total energy = -24.44 eV per cell

Cell lengths 2.7808, 2.7808, 7.1552 Å; angles 90.00, 90.00, 120.00 degrees
Space group P3m1 (No. 156)
One atom of each set of equivalent atoms:
Mn 0.0000 0.0000 0.0000 [1 per cell]
H 0.3333 0.6667 0.8931 [1 per cell]
Ru 0.6667 0.3333 0.2719 [1 per cell]
Au 0.3333 0.6667 0.6148 [1 per cell]

# Dy2Zn2Cu15

Crystalline Dy2Zn2Cu15 at its relaxed geometry (GGA-PBE, the Alexandria database).

Calculated values
calculated formation energy = -0.147 eV per atom
DFT total energy = -227.96 eV per cell

Cell lengths 8.5801, 8.5801, 12.6079 Å; angles 90.00, 90.00, 120.00 degrees
Space group R-3m (No. 166, hexagonal axes)
One atom of each set of equivalent atoms:
Dy 0.0000 0.0000 0.1525 [6 per cell]
Zn 0.0000 0.0000 0.3981 [6 per cell]
Cu 0.0000 0.2998 0.5000 [18 per cell]
Cu 0.0000 0.5000 0.0000 [9 per cell]
Cu 0.0018 0.5009 0.6536 [18 per cell]

# LaIrBr2

Crystalline LaIrBr2 at its relaxed geometry (GGA-PBE, the Alexandria database).

Calculated values
energy relative to the lowest polymorph listed for this composition = 103.4 kJ/mol of atoms
DFT total energy = -48.87 eV per cell

Cell lengths 3.5759, 3.5759, 27.6030 Å; angles 90.00, 90.00, 120.00 degrees
Space group R-3m (No. 166, hexagonal axes)
One atom of each set of equivalent atoms:
La 0.0000 0.0000 0.0000 [3 per cell]
Ir 0.0000 0.0000 0.5000 [3 per cell]
Br 0.0000 0.0000 0.2519 [6 per cell]

# Rb2TlIn10

Crystalline Rb2TlIn10 at its relaxed geometry (GGA-PBE, the Alexandria database).

Calculated values
calculated formation energy = 0.054 eV per atom
DFT total energy = -61.97 eV per cell

Cell lengths 11.3263, 12.8087, 6.6365 Å; angles 90.00, 90.00, 90.00 degrees
Space group Pbam (No. 55)
One atom of each set of equivalent atoms:
Rb 0.0896 0.1221 0.0000 [4 per cell]
Tl 0.0000 0.5000 0.5000 [2 per cell]
In 0.0215 0.2501 0.5000 [4 per cell]
In 0.1208 0.9592 0.5000 [4 per cell]
In 0.1953 0.3775 0.2262 [8 per cell]
In 0.2257 0.6628 0.5000 [4 per cell]